DFT (GGA-PBEsol) results for a geometry-optimized AlTcTe2N structure.

Cell lengths 3.6434, 5.3651, 5.3651 Å; angles 90.00, 90.00, 90.00 degrees
Fractional coordinates of all 5 atoms:
N 0.5000 0.0000 0.0000
Te 0.0000 0.0000 0.5000
Te 0.0000 0.5000 0.0000
Tc 0.0000 0.0000 0.0000
Al 0.5000 0.5000 0.5000

Raw total energy, eV per atom: -5.991
Magnetic moment, μB/f.u.: 0.00
Formation energy without anion corrections, meV per atom: 196
Space group: P4/mmm (123)

---

DFT (GGA-PBEsol) results for a geometry-optimized Cu2Se structure.

Cell lengths 3.7599, 4.2148, 6.7262 Å; angles 98.02, 90.00, 116.49 degrees
Fractional coordinates of all 6 atoms:
Cu 0.0129 0.0258 0.8041
Cu 0.6618 0.3235 0.0647
Cu 0.3382 0.6765 0.9353
Cu 0.9871 0.9742 0.1959
Se 0.3073 0.6146 0.2989
Se 0.6927 0.3854 0.7011

Raw total energy, eV per atom: -4.238
Magnetic moment, μB/f.u.: 0.00
Formation energy without anion corrections, meV per atom: -65
Space group: C2/m (12)

---

DFT (GGA-PBEsol) results for a geometry-optimized SrHgOsPt2 structure.

Cell lengths 5.0422, 5.0422, 5.3245 Å; angles 90.00, 90.00, 90.00 degrees
Site moments in Bohr magnetons follow the coordinates.
Fractional coordinates of all 5 atoms:
Sr 0.0000 0.0000 0.0000  -0.03
Os 0.5000 0.5000 0.5000  2.82
Hg 0.0000 0.0000 0.5000  0.02
Pt 0.0000 0.5000 0.0000  0.02
Pt 0.5000 0.0000 0.0000  0.02

Calculated formation energy, eV/atom: 2.456
Raw total energy, eV per atom: -3.254
Magnetic moment, μB/f.u.: 3.10
Space group: P4/mmm (123)

---

DFT (GGA-PBEsol) results for a geometry-optimized V9NiO15 structure.

Cell lengths 7.2662, 8.3017, 8.7036 Å; angles 80.84, 75.24, 67.59 degrees
Site moments in Bohr magnetons follow the coordinates.
Fractional coordinates of all 50 atoms:
V 0.7866 0.9342 0.3085  1.05
V 0.1091 0.8652 0.0869  0.81
V 0.3907 0.1342 0.9087  0.80
V 0.7161 0.0600 0.6882  0.89
V 0.9877 0.3360 0.5110  0.99
V 0.2839 0.9400 0.3118  0.89
V 0.3148 0.2664 0.2919  0.88
V 0.6093 0.8658 0.0913  0.80
V 0.5838 0.5400 0.1079  1.04
V 0.8909 0.1348 0.9131  0.81
V 0.9160 0.4659 0.8937  0.72
V 0.2134 0.0658 0.6915  1.05
V 0.4881 0.3390 0.5062  1.26
V 0.5119 0.6610 0.4938  1.26
V 0.0840 0.5341 0.1063  0.72
V 0.4162 0.4600 0.8921  1.04
V 0.6852 0.7336 0.7081  0.88
V 0.0123 0.6640 0.4890  0.99
Ni 0.1737 0.7399 0.7153  -0.99
Ni 0.8263 0.2601 0.2847  -0.99
O 0.1185 0.9107 0.8660  -0.04
O 0.3163 0.9668 0.0720  -0.01
O 0.4850 0.9680 0.7378  -0.01
O 0.9081 0.8313 0.6585  -0.05
O 0.7048 0.1020 0.4684  -0.05
O 0.9208 0.1629 0.6713  -0.01
O 0.0792 0.8371 0.3287  -0.01
O 0.2952 0.8980 0.5316  -0.05
O 0.0919 0.1687 0.3415  -0.05
O 0.5150 0.0320 0.2622  -0.01
O 0.3159 0.3038 0.0662  -0.01
O 0.5144 0.3715 0.2701  -0.05
O 0.6837 0.0332 0.9280  -0.01
O 0.8815 0.0893 0.1340  -0.04
O 0.6861 0.3691 0.9367  -0.01
O 0.1152 0.2309 0.8672  -0.01
O 0.9195 0.5046 0.6654  -0.01
O 0.1249 0.5567 0.8720  -0.04
O 0.2807 0.2382 0.5309  -0.02
O 0.4872 0.2929 0.7338  -0.01
O 0.2876 0.5699 0.5265  -0.05
O 0.7124 0.4301 0.4735  -0.05
O 0.5128 0.7071 0.2662  -0.01
O 0.7193 0.7618 0.4691  -0.02
O 0.8751 0.4433 0.1280  -0.04
O 0.0805 0.4954 0.3346  -0.01
O 0.8848 0.7691 0.1328  -0.01
O 0.3139 0.6309 0.0633  -0.01
O 0.4856 0.6285 0.7299  -0.05
O 0.6841 0.6962 0.9338  -0.01

Raw total energy, eV per atom: -9.074
Magnetic moment, μB/f.u.: 7.72
Formation energy without anion corrections, meV per atom: -2210
Space group: P-1 (2)

---

DFT (GGA-PBEsol) results for a geometry-optimized NiAg2Br structure.

Cell lengths 3.2017, 4.8015, 4.8015 Å; angles 112.67, 90.00, 90.00 degrees
Fractional coordinates of all 4 atoms:
Ag 0.0000 0.5000 0.0000
Ag 0.0000 0.0000 0.5000
Br 0.5000 0.0000 0.0000
Ni 0.5000 0.5000 0.5000

Raw total energy, eV per atom: -3.188
Magnetic moment, μB/f.u.: 0.00
Formation energy without anion corrections, meV per atom: 475
Space group: Cmmm (65)
Energy above the most stable polymorph in this dataset, eV/atom: 0.243

---

DFT (GGA-PBEsol) results for a geometry-optimized CuRhS2 structure.

Cell lengths 3.5219, 3.5219, 6.8940 Å; angles 75.20, 75.20, 60.00 degrees
Fractional coordinates of all 4 atoms:
S 0.8926 0.8926 0.3222
S 0.1074 0.1074 0.6778
Rh 0.5000 0.5000 0.5000
Cu 0.0000 0.0000 0.0000

Raw total energy, eV per atom: -5.675
Magnetic moment, μB/f.u.: 0.00
Formation energy without anion corrections, meV per atom: -365
Space group: R-3m (166)

---

DFT (GGA-PBEsol) results for a geometry-optimized La2YSc structure.

Cell lengths 3.7895, 5.6980, 5.6980 Å; angles 90.00, 90.00, 90.00 degrees
Fractional coordinates of all 4 atoms:
Y 0.5000 0.0000 0.0000
Sc 0.5000 0.5000 0.5000
La 0.0000 0.0000 0.5000
La 0.0000 0.5000 0.0000

Calculated formation energy, eV/atom: 0.084
Raw total energy, eV per atom: -5.946
Magnetic moment, μB/f.u.: 0.00
Space group: P4/mmm (123)
Energy above the most stable polymorph in this dataset, eV/atom: 0.056

---

DFT (GGA-PBEsol) results for a geometry-optimized BaCr2P structure.

Cell lengths 3.3302, 5.7492, 5.7492 Å; angles 59.14, 73.16, 73.16 degrees
Site moments in Bohr magnetons follow the coordinates.
Fractional coordinates of all 4 atoms:
Ba 0.0000 0.5000 0.5000  0.06
Cr 0.1753 0.8247 0.8247  3.27
Cr 0.8247 0.1753 0.1753  3.27
P 0.5000 0.0000 0.0000  -0.16

Calculated formation energy, eV/atom: 0.525
Raw total energy, eV per atom: -6.581
Magnetic moment, μB/f.u.: 7.11
Space group: Immm (71)

---

DFT (GGA-PBEsol) results for a geometry-optimized HfMgI3 structure.

Cell lengths 5.6038, 5.6038, 5.6038 Å; angles 90.00, 90.00, 90.00 degrees
Fractional coordinates of all 5 atoms:
I 0.0000 0.5000 0.0000
I 0.0000 0.0000 0.5000
I 0.5000 0.0000 0.0000
Mg 0.5000 0.5000 0.5000
Hf 0.0000 0.0000 0.0000

Raw total energy, eV per atom: -3.715
Magnetic moment, μB/f.u.: 0.00
Formation energy without anion corrections, meV per atom: -210
Space group: Pm-3m (221)

---

DFT (GGA-PBEsol) results for a geometry-optimized Co2Re2I structure.

Cell lengths 3.4250, 3.4250, 6.8343 Å; angles 104.51, 104.51, 90.00 degrees
Fractional coordinates of all 5 atoms:
I 0.0000 0.0000 0.0000
Re 0.3830 0.3830 0.7659
Re 0.6170 0.6170 0.2341
Co 0.2500 0.7500 0.5000
Co 0.7500 0.2500 0.5000

Raw total energy, eV per atom: -7.901
Magnetic moment, μB/f.u.: 0.00
Formation energy without anion corrections, meV per atom: 880
Space group: I4/mmm (139)

---

DFT (GGA-PBEsol) results for a geometry-optimized OsRu3 structure.

Cell lengths 2.6972, 2.6972, 8.5418 Å; angles 90.00, 90.00, 120.00 degrees
Fractional coordinates of all 4 atoms:
Ru 0.0000 0.0000 0.5000
Ru 0.6667 0.3333 0.7494
Ru 0.6667 0.3333 0.2506
Os 0.0000 0.0000 0.0000

Calculated formation energy, eV/atom: -0.004
Raw total energy, eV per atom: -10.687
Magnetic moment, μB/f.u.: 0.00
Space group: P-6m2 (187)

---

DFT (GGA-PBEsol) results for a geometry-optimized Y3GeB structure.

Cell lengths 4.8873, 4.8873, 4.8873 Å; angles 90.00, 90.00, 90.00 degrees
Fractional coordinates of all 5 atoms:
Y 0.0000 0.5000 0.0000
Y 0.0000 0.0000 0.5000
Y 0.5000 0.0000 0.0000
Ge 0.5000 0.5000 0.5000
B 0.0000 0.0000 0.0000

Calculated formation energy, eV/atom: -0.391
Raw total energy, eV per atom: -6.875
Magnetic moment, μB/f.u.: 0.00
Space group: Pm-3m (221)
Energy above the most stable polymorph in this dataset, eV/atom: 0.000